Compound: CsNdCrO4
Source: Alexandria
Functional: GGA+U
Structure: optimized geometry

Unit cell a=6.0287 b=6.0544 c=8.1247 alpha=90.00 beta=108.11 gamma=90.00
Last column: magnetic moment on the atom in μB.
Positions (direct):
Cs 0.6993 0.7500 0.9298  0.00
Cs 0.3007 0.2500 0.0702  0.00
Nd 0.7974 0.7500 0.4582  0.02
Nd 0.2026 0.2500 0.5418  0.02
Cr 0.2553 0.7500 0.3442  2.02
Cr 0.7447 0.2500 0.6558  2.02
O 0.9543 0.4749 0.6681  -0.01
O 0.0457 0.9749 0.3319  -0.01
O 0.0457 0.5251 0.3319  -0.01
O 0.9543 0.0251 0.6681  -0.01
O 0.4413 0.7500 0.2118  -0.03
O 0.5587 0.2500 0.7882  -0.03
O 0.4531 0.7500 0.5565  -0.02
O 0.5469 0.2500 0.4435  -0.02

As for the energy: -6.946 eV/atom.